The following is a PBE calculation of Sr4BePb after structural relaxation, from Alexandria.

Geometry as POSCAR:
```
Sr4BePb
1.0
-5.3645 -2.0653 4.1595
-5.4336 -3.6336 -2.7601
-0.8336 -6.8702 1.5654
Sr Pb Be
4 1 1
Direct
0.3746 0.3746 0.3746
0.3746 0.8762 0.3746
0.3746 0.3746 0.8762
0.8762 0.3746 0.3746
0.0000 0.0000 0.0000
0.7500 0.7500 0.7500
```

Summary:
For the density of states at the Fermi level, the calculation gives 1.4016 states/eV per atom. The total energy comes out at -1.67 eV per atom.